Model w:
{"formula": "BaNbRh3", "functional": "GGA-PBE", "state": "relaxed", "cell": [[-0.933, 4.103, -2.595], [-4.840, -0.993, 0.169], [-0.381, 2.573, 4.205]], "species": ["Rh", "Nb", "Rh", "Rh", "Ba"], "frac_coords": [[0.000, 0.000, 0.500], [0.500, 0.500, 0.500], [0.000, 0.500, 0.000], [0.500, 0.000, 0.000], [0.000, 0.000, 0.000]], "spacegroup": "No. 221", "density_g_cm3": 7.41, "dos_ef_per_ev_fu": 8.69}

Model x:
{"formula": "BaNbRh3", "functional": "GGA-PBE", "state": "relaxed", "cell": [[4.883, 0.000, 0.000], [0.000, 4.883, 0.000], [0.000, 0.000, 4.883]], "species": ["Rh", "Rh", "Nb", "Ba", "Rh"], "frac_coords": [[0.500, 0.000, 0.000], [0.000, 0.000, 0.500], [0.000, 0.000, 0.000], [0.500, 0.500, 0.500], [0.000, 0.500, 0.000]], "spacegroup": "No. 221", "density_g_cm3": 7.69, "dos_ef_per_ev_fu": 1.71}

Which structure is most stable? model x, by 1.885 eV/atom over the runner-up.

Model w:
{"formula": "BaNbRh2", "functional": "GGA-PBE", "state": "relaxed", "cell": [[-2.410, -4.227, 0.229], [-2.372, -1.234, 4.072], [-4.871, -0.026, 0.068]], "species": ["Rh", "Ba", "Nb", "Rh"], "frac_coords": [[0.750, 0.750, 0.750], [0.500, 0.500, 0.500], [0.000, 0.000, 0.000], [0.250, 0.250, 0.250]], "spacegroup": "No. 225", "density_g_cm3": 8.86, "dos_ef_per_ev_fu": 4.13}

Model x:
{"formula": "BaNbRh2", "functional": "GGA-PBE", "state": "relaxed", "cell": [[-6.002, -4.501, 0.863], [2.422, -1.909, 6.894], [-3.543, -0.612, 5.212]], "species": ["Rh", "Ba", "Rh", "Nb", "Rh", "Rh", "Ba", "Nb"], "frac_coords": [[0.375, 0.443, 0.750], [0.750, 0.250, 0.500], [0.557, 0.125, 0.250], [0.250, 0.750, 0.500], [0.875, 0.807, 0.750], [0.193, 0.625, 0.250], [0.000, 0.000, 0.000], [0.500, 0.500, 0.000]], "spacegroup": "No. 122", "density_g_cm3": 7.46, "dos_ef_per_ev_fu": 4.69}

Which structure is most stable? model x, by 0.148 eV/atom over the runner-up.

Model w:
{"formula": "BaNb3Rh", "functional": "GGA-PBE", "state": "relaxed", "cell": [[4.988, 0.000, 0.000], [0.000, 4.988, 0.000], [0.000, 0.000, 4.988]], "species": ["Rh", "Nb", "Nb", "Nb", "Ba"], "frac_coords": [[0.500, 0.500, 0.500], [0.000, 0.500, 0.000], [0.500, 0.000, 0.000], [0.000, 0.000, 0.500], [0.000, 0.000, 0.000]], "spacegroup": "No. 221", "density_g_cm3": 6.95, "dos_ef_per_ev_fu": 9.11}

Model x:
{"formula": "BaNb3Rh", "functional": "GGA-PBE", "state": "relaxed", "cell": [[5.015, 0.000, 0.000], [0.000, 5.015, 0.000], [0.000, 0.000, 5.015]], "species": ["Ba", "Rh", "Nb", "Nb", "Nb"], "frac_coords": [[0.500, 0.500, 0.500], [0.000, 0.000, 0.000], [0.000, 0.000, 0.500], [0.500, 0.000, 0.000], [0.000, 0.500, 0.000]], "spacegroup": "No. 221", "density_g_cm3": 6.83, "dos_ef_per_ev_fu": 3.26}

Which structure is most stable? model x, by 1.781 eV/atom over the runner-up.

Model w:
{"formula": "BaNbSnRh2", "functional": "GGA-PBE", "state": "relaxed", "cell": [[4.844, 0.000, 0.000], [0.000, 5.797, 0.000], [0.000, 0.000, 4.844]], "species": ["Rh", "Nb", "Rh", "Ba", "Sn"], "frac_coords": [[0.000, 0.000, 0.500], [0.000, 0.000, 0.000], [0.500, 0.000, 0.000], [0.000, 0.500, 0.000], [0.500, 0.500, 0.500]], "spacegroup": "No. 123", "density_g_cm3": 6.77, "dos_ef_per_ev_fu": 4.43}

Model x:
{"formula": "BaNbSnRh2", "functional": "GGA-PBE", "state": "relaxed", "cell": [[-3.180, 0.983, -3.640], [0.867, -4.924, -2.088], [-3.687, -1.808, 2.733]], "species": ["Rh", "Rh", "Sn", "Ba", "Nb"], "frac_coords": [[0.500, 0.000, 0.000], [0.000, 0.000, 0.500], [0.000, 0.500, 0.000], [0.500, 0.500, 0.500], [0.000, 0.000, 0.000]], "spacegroup": "No. 123", "density_g_cm3": 6.99, "dos_ef_per_ev_fu": 5.22}

Which structure is most stable? model x, by 0.505 eV/atom over the runner-up.

Model w:
{"formula": "BaNb4S8", "functional": "GGA-PBE", "state": "relaxed", "cell": [[-0.563, -0.784, 3.332], [7.960, 0.019, 3.155], [-0.282, 8.411, 3.737]], "species": ["S", "Nb", "S", "S", "S", "Ba", "S", "Nb", "S", "S", "Nb", "Nb", "S"], "frac_coords": [[0.824, 0.305, 0.047], [0.195, 0.502, 0.108], [0.886, 0.664, 0.564], [0.860, 0.996, 0.284], [0.555, 0.671, 0.219], [0.516, 0.002, 0.967], [0.207, 0.698, 0.887], [0.669, 0.168, 0.494], [0.146, 0.339, 0.370], [0.477, 0.332, 0.714], [0.836, 0.501, 0.826], [0.362, 0.835, 0.440], [0.172, 0.007, 0.649]], "spacegroup": "No. 12", "density_g_cm3": 4.85, "dos_ef_per_ev_fu": 7.66}

Model x:
{"formula": "BaNb4S8", "functional": "GGA-PBE", "state": "relaxed", "cell": [[7.477, 0.000, 0.000], [3.739, 6.475, 0.000], [3.739, 2.158, 6.105]], "species": ["S", "S", "Ba", "S", "Nb", "Nb", "Nb", "S", "S", "Nb", "S", "S", "S"], "frac_coords": [[0.124, 0.124, 0.124], [0.627, 0.124, 0.124], [0.750, 0.750, 0.750], [0.599, 0.599, 0.204], [0.931, 0.356, 0.356], [0.356, 0.931, 0.356], [0.356, 0.356, 0.931], [0.599, 0.599, 0.599], [0.124, 0.124, 0.627], [0.356, 0.356, 0.356], [0.599, 0.204, 0.599], [0.124, 0.627, 0.124], [0.204, 0.599, 0.599]], "spacegroup": "No. 216", "density_g_cm3": 4.30}

Which structure is most stable? model w, by 0.101 eV/atom over the runner-up.

Model w:
{"formula": "BaNbS4", "functional": "GGA-PBE", "state": "relaxed", "cell": [[6.384, 0.000, 0.309], [0.000, 7.089, 0.000], [-1.438, -3.544, 6.631]], "species": ["S", "S", "S", "S", "S", "Ba", "Nb", "S", "Nb", "Ba", "S", "S"], "frac_coords": [[0.232, 0.714, 0.429], [0.768, 0.286, 0.571], [0.000, 0.766, 0.000], [0.553, 0.339, 0.152], [0.000, 0.234, 0.000], [0.772, 0.809, 0.617], [0.233, 0.536, 0.072], [0.447, 0.661, 0.848], [0.767, 0.464, 0.928], [0.228, 0.191, 0.383], [0.553, 0.813, 0.152], [0.447, 0.187, 0.848]], "spacegroup": "No. 12", "density_g_cm3": 3.93, "dos_ef_per_ev_fu": 0.28}

Model x:
{"formula": "BaNbS4", "functional": "GGA-PBE", "state": "relaxed", "cell": [[6.009, -0.838, 0.633], [1.148, 6.421, 3.630], [-0.521, -0.039, 7.910]], "species": ["Nb", "S", "S", "S", "Ba", "S", "S", "S", "S", "Nb", "Ba", "S"], "frac_coords": [[0.750, 0.962, 0.076], [0.128, 0.117, 0.588], [0.581, 0.818, 0.907], [0.419, 0.182, 0.093], [0.250, 0.633, 0.734], [0.872, 0.883, 0.412], [0.919, 0.275, 0.907], [0.372, 0.295, 0.588], [0.628, 0.705, 0.412], [0.250, 0.038, 0.924], [0.750, 0.367, 0.266], [0.081, 0.725, 0.093]], "spacegroup": "No. 15", "density_g_cm3": 3.75, "dos_ef_per_ev_fu": 2.52}

Which structure is most stable? model x, by 0.090 eV/atom over the runner-up.

Model w:
{"formula": "BaNbS2", "functional": "GGA-PBE", "state": "relaxed", "cell": [[-1.317, -5.030, -3.039], [4.916, -2.650, 2.255], [-1.738, -6.024, 4.755]], "species": ["Nb", "S", "S", "S", "S", "Nb", "Ba", "Ba"], "frac_coords": [[0.500, 0.500, 0.000], [0.235, 0.625, 0.250], [0.875, 0.765, 0.750], [0.515, 0.125, 0.250], [0.375, 0.485, 0.750], [0.250, 0.750, 0.500], [0.000, 0.000, 0.000], [0.750, 0.250, 0.500]], "spacegroup": "No. 122", "density_g_cm3": 4.07, "dos_ef_per_ev_fu": 2.84}

Model x:
{"formula": "BaNbS2", "functional": "GGA-PBE", "state": "relaxed", "cell": [[0.124, 7.582, 3.015], [4.496, 5.660, 3.787], [3.361, 7.413, -0.577]], "species": ["S", "Nb", "S", "Ba"], "frac_coords": [[0.102, 0.102, 0.102], [0.000, 0.000, 0.000], [0.898, 0.898, 0.898], [0.500, 0.500, 0.500]], "spacegroup": "No. 166", "density_g_cm3": 3.15, "dos_ef_per_ev_fu": 4.35}

Which structure is most stable? model w, by 0.411 eV/atom over the runner-up.

Model w:
{"formula": "BaNbS2", "functional": "GGA-PBE", "state": "relaxed", "cell": [[2.100, 0.000, 9.057], [-1.050, 1.819, 9.057], [-1.050, -1.819, 9.057]], "species": ["Ba", "Nb", "S", "S"], "frac_coords": [[0.000, 0.000, 0.000], [0.500, 0.500, 0.500], [0.113, 0.113, 0.113], [0.887, 0.887, 0.887]], "spacegroup": "No. 166", "density_g_cm3": 4.71, "dos_ef_per_ev_fu": 3.11}

Model x:
{"formula": "BaNbS2", "functional": "GGA-PBE", "state": "relaxed", "cell": [[0.000, 3.486, 3.486], [3.486, 0.000, 3.486], [3.486, 3.486, 0.000]], "species": ["S", "S", "Nb", "Ba"], "frac_coords": [[0.250, 0.250, 0.250], [0.750, 0.750, 0.750], [0.000, 0.000, 0.000], [0.500, 0.500, 0.500]], "spacegroup": "No. 225", "density_g_cm3": 5.77, "dos_ef_per_ev_fu": 2.71}

Which structure is most stable? model w, by 0.175 eV/atom over the runner-up.

Model w:
{"formula": "Ba2Nb2Sb", "functional": "GGA-PBE", "state": "relaxed", "cell": [[-4.255, -0.764, 8.427], [-1.887, -9.109, -1.779], [3.181, -0.956, 1.520]], "species": ["Ba", "Sb", "Nb", "Ba", "Sb", "Nb", "Nb", "Nb", "Ba", "Ba"], "frac_coords": [[0.368, 0.868, 0.000], [0.500, 0.500, 0.000], [0.677, 0.823, 0.500], [0.132, 0.368, 0.000], [0.000, 0.000, 0.000], [0.823, 0.323, 0.500], [0.177, 0.677, 0.500], [0.323, 0.177, 0.500], [0.868, 0.632, 0.000], [0.632, 0.132, 0.000]], "spacegroup": "No. 127", "density_g_cm3": 5.90, "dos_ef_per_ev_fu": 8.75}

Model x:
{"formula": "Ba2Nb2Sb", "functional": "GGA-PBE", "state": "relaxed", "cell": [[-0.513, 2.220, -3.049], [-3.258, -1.811, -0.770], [-7.552, 7.680, 4.487]], "species": ["Nb", "Ba", "Sb", "Nb", "Ba"], "frac_coords": [[0.750, 0.250, 0.500], [0.602, 0.602, 0.796], [0.000, 0.000, 0.000], [0.250, 0.750, 0.500], [0.398, 0.398, 0.204]], "spacegroup": "No. 139", "density_g_cm3": 5.88, "dos_ef_per_ev_fu": 5.44}

Which structure is most stable? model x, by 1.142 eV/atom over the runner-up.

Model w:
{"formula": "Ba2NbSb2", "functional": "GGA-PBE", "state": "relaxed", "cell": [[-3.374, -2.416, 1.575], [0.831, -3.135, -3.030], [3.655, -6.359, 4.330]], "species": ["Nb", "Ba", "Sb", "Ba", "Sb"], "frac_coords": [[0.000, 0.000, 0.000], [0.750, 0.250, 0.500], [0.587, 0.587, 0.826], [0.250, 0.750, 0.500], [0.413, 0.413, 0.174]], "spacegroup": "No. 139", "density_g_cm3": 6.50, "dos_ef_per_ev_fu": 4.64}

Model x:
{"formula": "Ba2NbSb2", "functional": "GGA-PBE", "state": "relaxed", "cell": [[-4.871, 4.720, -3.873], [2.288, -3.183, -6.756], [-3.930, -3.713, 0.418]], "species": ["Sb", "Ba", "Ba", "Ba", "Nb", "Nb", "Sb", "Sb", "Ba", "Sb"], "frac_coords": [[0.651, 0.151, 0.000], [0.166, 0.666, 0.500], [0.666, 0.834, 0.500], [0.334, 0.166, 0.500], [0.000, 0.000, 0.000], [0.500, 0.500, 0.000], [0.151, 0.349, 0.000], [0.849, 0.651, 0.000], [0.834, 0.334, 0.500], [0.349, 0.849, 0.000]], "spacegroup": "No. 127", "density_g_cm3": 6.13, "dos_ef_per_ev_fu": 4.68}

Which structure is most stable? model x, by 0.920 eV/atom over the runner-up.

Model w:
{"formula": "BaNbSb2", "functional": "GGA-PBE", "state": "relaxed", "cell": [[-3.633, 4.727, 5.679], [-6.491, 0.981, -4.970], [-6.833, -0.491, 2.006]], "species": ["Nb", "Sb", "Nb", "Sb", "Ba", "Sb", "Sb", "Ba"], "frac_coords": [[0.500, 0.500, 0.000], [0.875, 0.805, 0.750], [0.250, 0.750, 0.500], [0.555, 0.125, 0.250], [0.750, 0.250, 0.500], [0.195, 0.625, 0.250], [0.375, 0.445, 0.750], [0.000, 0.000, 0.000]], "spacegroup": "No. 122", "density_g_cm3": 5.62, "dos_ef_per_ev_fu": 2.34}

Model x:
{"formula": "BaNbSb2", "functional": "GGA-PBE", "state": "relaxed", "cell": [[0.000, 3.816, 3.816], [3.816, 0.000, 3.816], [3.816, 3.816, 0.000]], "species": ["Sb", "Ba", "Nb", "Sb"], "frac_coords": [[0.750, 0.750, 0.750], [0.500, 0.500, 0.500], [0.000, 0.000, 0.000], [0.250, 0.250, 0.250]], "spacegroup": "No. 225", "density_g_cm3": 7.08, "dos_ef_per_ev_fu": 2.25}

Which structure is most stable? model w, by 0.140 eV/atom over the runner-up.

Model w:
{"formula": "Ba2ScNb", "functional": "GGA-PBE", "state": "relaxed", "cell": [[-4.978, -0.264, 3.010], [-3.023, 4.863, 1.060], [-5.082, 0.914, -2.691]], "species": ["Nb", "Ba", "Sc", "Ba"], "frac_coords": [[0.500, 0.500, 0.500], [0.750, 0.750, 0.750], [0.000, 0.000, 0.000], [0.250, 0.250, 0.250]], "spacegroup": "No. 225", "density_g_cm3": 4.91, "dos_ef_per_ev_fu": 5.29}

Model x:
{"formula": "Ba2ScNb", "functional": "GGA-PBE", "state": "relaxed", "cell": [[-7.497, -4.345, 3.648], [4.516, -0.911, 8.195], [-2.683, 0.252, 6.899]], "species": ["Ba", "Sc", "Ba", "Ba", "Sc", "Nb", "Ba", "Nb"], "frac_coords": [[0.655, 0.125, 0.250], [0.500, 0.500, 0.000], [0.375, 0.345, 0.750], [0.095, 0.625, 0.250], [0.250, 0.750, 0.500], [0.000, 0.000, 0.000], [0.875, 0.905, 0.750], [0.750, 0.250, 0.500]], "spacegroup": "No. 122", "density_g_cm3": 4.74, "dos_ef_per_ev_fu": 5.97}

Which structure is most stable? model w, by 0.168 eV/atom over the runner-up.